The following is a PBE calculation of a geometry-optimized Ir2RuSe structure, from Alexandria.

Properties
Volume: 14.94 Å³ per atom
Formation energy without anion corrections: 307.3 meV/atom

Cell: 8.582 8.582 8.582 Å, 19.20 19.20 19.20°
Sites, in units of the cell vectors:
Ir1 0.002 0.002 0.002
Ir2 0.248 0.248 0.248
Ru1 0.497 0.497 0.497
Se1 0.753 0.753 0.753